Na2MnHgO: relaxed, PBE+U.

Properties
Crystal system: tetragonal
Total magnetic moment: 4.25 μB/cell
Energy: -18.66 eV for the cell shown

Lattice parameters (Å, degrees): 4.9915 4.9915 3.9738 90.00 90.00 90.00
Closest atoms and distances in Å follow each position.
Space group P4/mmm (No. 123)
Asymmetric unit:
Na: 0.0000 0.5000 0.0000  2 O 2.50
Mn: 0.0000 0.0000 0.5000  2 O 1.99
Hg: 0.5000 0.5000 0.5000  8 Na 3.19, 4 Mn 3.53
O: 0.0000 0.0000 0.0000  2 Mn 1.99